No. 1
Here is a geometry-optimized CoH3Pb structure from Alexandria. Energies are from GGA-PBE.

Lattice parameters (Å, degrees): 3.617 3.617 3.617 90.00 90.00 90.00
Sites, in units of the cell vectors:
1 Co 0.000 0.000 0.000
2 H 0.000 0.000 0.500
3 H 0.000 0.500 0.000
4 H 0.500 0.000 0.000
5 Pb 0.500 0.500 0.500

Results
VASP energy, eV per cell: -19.59
Volume, Å³ per atom: 9.465



No. 2
Here is a geometry-optimized Co3HPb structure from Alexandria. Energies are from GGA-PBE.

Lattice parameters (Å, degrees): 3.815 3.815 3.815 90.00 90.00 90.00
Sites, in units of the cell vectors:
1 Co 0.000 0.000 0.500
2 Co 0.000 0.500 0.000
3 Co 0.500 0.000 0.000
4 H 0.000 0.000 0.000
5 Pb 0.500 0.500 0.500

Results
VASP energy, eV per cell: -27.00
Volume, Å³ per atom: 11.102



No. 3
Here is a geometry-optimized CoHPb3 structure from Alexandria. Energies are from GGA-PBE.

Lattice parameters (Å, degrees): 5.063 5.063 5.063 90.00 90.00 90.00
Sites, in units of the cell vectors:
1 Co 0.000 0.000 0.000
2 H 0.500 0.500 0.500
3 Pb 0.000 0.000 0.500
4 Pb 0.000 0.500 0.000
5 Pb 0.500 0.000 0.000

Results
VASP energy, eV per cell: -18.79
Volume, Å³ per atom: 25.953



No. 4
Here is a geometry-optimized Co2HPb structure from Alexandria. Energies are from GGA-PBE.

Lattice parameters (Å, degrees): 4.185 4.185 4.185 60.00 60.00 60.00
Sites, in units of the cell vectors:
1 Co 0.250 0.250 0.250
2 Co 0.750 0.750 0.750
3 H 0.000 0.000 0.000
4 Pb 0.500 0.500 0.500

Results
VASP energy, eV per cell: -17.53
Volume, Å³ per atom: 12.959



No. 5
Here is a geometry-optimized CoH2Pb structure from Alexandria. Energies are from GGA-PBE.

Lattice parameters (Å, degrees): 4.014 4.014 4.014 60.00 60.00 60.00
Sites, in units of the cell vectors:
1 Co 0.000 0.000 0.000
2 H 0.250 0.250 0.250
3 H 0.750 0.750 0.750
4 Pb 0.500 0.500 0.500

Results
VASP energy, eV per cell: -13.63
Volume, Å³ per atom: 11.436



No. 6
Here is a geometry-optimized CoH6PdPb structure from Alexandria. Energies are from GGA-PBE.

Lattice parameters (Å, degrees): 4.747 4.747 4.399 90.24 90.24 120.18
Sites, in units of the cell vectors:
1 Co 0.000 0.000 0.000
2 H 0.126 0.828 0.230
3 H 0.127 0.296 0.770
4 H 0.167 0.300 0.230
5 H 0.172 0.874 0.770
6 H 0.700 0.833 0.770
7 H 0.704 0.873 0.230
8 Pd 0.333 0.667 0.000
9 Pb 0.665 0.335 0.500

Results
VASP energy, eV per cell: -35.03
Volume, Å³ per atom: 9.520



No. 7
Here is a geometry-optimized CoH2PdPb structure from Alexandria. Energies are from GGA-PBE.

Lattice parameters (Å, degrees): 3.746 3.746 5.503 90.00 90.00 90.00
Sites, in units of the cell vectors:
1 Co 0.000 0.000 0.000
2 H 0.000 0.500 0.500
3 H 0.500 0.000 0.500
4 Pd 0.500 0.500 0.000
5 Pb 0.000 0.000 0.500

Results
VASP energy, eV per cell: -18.41
Volume, Å³ per atom: 15.445



No. 8
Here is a geometry-optimized CoHPd2Pb structure from Alexandria. Energies are from GGA-PBE.

Lattice parameters (Å, degrees): 3.984 3.984 4.020 90.00 90.00 90.00
Sites, in units of the cell vectors:
1 Co 0.000 0.000 0.000
2 H 0.000 0.000 0.500
3 Pd 0.000 0.500 0.500
4 Pd 0.500 0.000 0.500
5 Pb 0.500 0.500 0.000

Results
VASP energy, eV per cell: -24.48
Volume, Å³ per atom: 12.759



No. 9
Here is a geometry-optimized CoH6PtPb2 structure from Alexandria. Energies are from GGA-PBE.

Lattice parameters (Å, degrees): 5.676 5.676 5.676 128.92 128.92 75.14
Sites, in units of the cell vectors:
1 Co 0.000 0.000 0.000
2 H 0.174 0.174 0.000
3 H 0.246 0.246 0.492
4 H 0.246 0.754 0.000
5 H 0.754 0.246 0.000
6 H 0.754 0.754 0.508
7 H 0.826 0.826 0.000
8 Pt 0.500 0.500 0.000
9 Pb 0.250 0.750 0.500
10 Pb 0.750 0.250 0.500

Results
VASP energy, eV per cell: -39.44
Volume, Å³ per atom: 10.778



No. 10
Here is a geometry-optimized Co2HRhPb structure from Alexandria. Energies are from GGA-PBE.

Lattice parameters (Å, degrees): 3.928 3.928 3.907 90.00 90.00 90.00
Sites, in units of the cell vectors:
1 Co 0.000 0.500 0.000
2 Co 0.500 0.000 0.000
3 H 0.000 0.000 0.000
4 Rh 0.000 0.000 0.500
5 Pb 0.500 0.500 0.500

Results
VASP energy, eV per cell: -27.75
Volume, Å³ per atom: 12.057



No. 11
Here is a geometry-optimized CoHPb2S structure from Alexandria. Energies are from GGA-PBE.

Lattice parameters (Å, degrees): 5.128 5.128 3.496 90.00 90.00 90.00
Sites, in units of the cell vectors:
1 Co 0.000 0.000 0.000
2 H 0.000 0.000 0.500
3 Pb 0.000 0.500 0.000
4 Pb 0.500 0.000 0.000
5 S 0.500 0.500 0.500

Results
VASP energy, eV per cell: -21.44
Volume, Å³ per atom: 18.384



No. 12
Here is a geometry-optimized CoSbHPb2 structure from Alexandria. Energies are from GGA-PBE.

Lattice parameters (Å, degrees): 5.479 5.479 3.447 90.00 90.00 90.00
Sites, in units of the cell vectors:
1 Co 0.000 0.000 0.000
2 Sb 0.500 0.500 0.500
3 H 0.000 0.000 0.500
4 Pb 0.000 0.500 0.000
5 Pb 0.500 0.000 0.000

Results
VASP energy, eV per cell: -20.33
Volume, Å³ per atom: 20.695



No. 13
Here is a geometry-optimized Zr6CoHPb2 structure from Alexandria. Energies are from GGA-PBE.

Lattice parameters (Å, degrees): 6.629 6.629 6.629 119.87 119.87 90.22
Sites, in units of the cell vectors:
1 Zr 0.240 0.240 0.000
2 Zr 0.241 0.241 0.482
3 Zr 0.241 0.759 0.000
4 Zr 0.759 0.241 0.000
5 Zr 0.759 0.759 0.518
6 Zr 0.760 0.760 0.000
7 Co 0.500 0.500 0.000
8 H 0.000 0.000 0.000
9 Pb 0.250 0.750 0.500
10 Pb 0.750 0.250 0.500

Results
VASP energy, eV per cell: -70.39
Volume, Å³ per atom: 20.638



No. 14
Here is a geometry-optimized Co3H5Pd12 structure from Alexandria. Energies are from GGA-PBE.

Lattice parameters (Å, degrees): 10.898 10.898 10.898 109.47 109.47 109.47
Sites, in units of the cell vectors:
1 Co 0.125 0.250 0.375
2 Co 0.125 0.375 0.750
3 Co 0.250 0.375 0.125
4 Co 0.250 0.875 0.625
5 Co 0.375 0.125 0.250
6 Co 0.375 0.750 0.125
7 Co 0.625 0.250 0.875
8 Co 0.625 0.875 0.750
9 Co 0.750 0.125 0.375
10 Co 0.750 0.625 0.875
11 Co 0.875 0.625 0.250
12 Co 0.875 0.750 0.625
13 H 0.000 0.000 0.000
14 H 0.000 0.000 0.500
15 H 0.000 0.500 0.000
16 H 0.000 0.500 0.500
17 H 0.125 0.750 0.875
18 H 0.125 0.875 0.250
19 H 0.250 0.125 0.875
20 H 0.250 0.625 0.375
21 H 0.375 0.250 0.625
22 H 0.375 0.625 0.750
23 H 0.500 0.000 0.000
24 H 0.500 0.000 0.500
25 H 0.500 0.500 0.000
26 H 0.500 0.500 0.500
27 H 0.625 0.375 0.250
28 H 0.625 0.750 0.375
29 H 0.750 0.375 0.625
30 H 0.750 0.875 0.125
31 H 0.875 0.125 0.750
32 H 0.875 0.250 0.125
33 Pd 0.015 0.200 0.110
34 Pd 0.015 0.315 0.905
35 Pd 0.090 0.700 0.685
36 Pd 0.090 0.890 0.405
37 Pd 0.095 0.610 0.410
38 Pd 0.095 0.985 0.685
39 Pd 0.110 0.015 0.200
40 Pd 0.110 0.595 0.910
41 Pd 0.185 0.200 0.590
42 Pd 0.185 0.485 0.595
43 Pd 0.200 0.110 0.015
44 Pd 0.200 0.590 0.185
45 Pd 0.300 0.315 0.910
46 Pd 0.300 0.485 0.390
47 Pd 0.315 0.905 0.015
48 Pd 0.315 0.910 0.300
49 Pd 0.390 0.300 0.485
50 Pd 0.390 0.590 0.905
51 Pd 0.405 0.090 0.890
52 Pd 0.405 0.815 0.515
53 Pd 0.410 0.095 0.610
54 Pd 0.410 0.815 0.800
55 Pd 0.485 0.390 0.300
56 Pd 0.485 0.595 0.185
57 Pd 0.515 0.405 0.815
58 Pd 0.515 0.610 0.700
59 Pd 0.590 0.185 0.200
60 Pd 0.590 0.905 0.390
61 Pd 0.595 0.185 0.485
62 Pd 0.595 0.910 0.110
63 Pd 0.610 0.410 0.095
64 Pd 0.610 0.700 0.515
65 Pd 0.685 0.090 0.700
66 Pd 0.685 0.095 0.985
67 Pd 0.700 0.515 0.610
68 Pd 0.700 0.685 0.090
69 Pd 0.800 0.410 0.815
70 Pd 0.800 0.890 0.985
71 Pd 0.815 0.515 0.405
72 Pd 0.815 0.800 0.410
73 Pd 0.890 0.405 0.090
74 Pd 0.890 0.985 0.800
75 Pd 0.905 0.015 0.315
76 Pd 0.905 0.390 0.590
77 Pd 0.910 0.110 0.595
78 Pd 0.910 0.300 0.315
79 Pd 0.985 0.685 0.095
80 Pd 0.985 0.800 0.890

Results
VASP energy, eV per cell: -392.51
Volume, Å³ per atom: 12.453



No. 15
Here is a geometry-optimized CoH3Pd structure from Alexandria. Energies are from GGA-PBE.

Lattice parameters (Å, degrees): 3.248 3.248 3.248 90.00 90.00 90.00
Sites, in units of the cell vectors:
1 Co 0.000 0.000 0.000
2 H 0.000 0.000 0.500
3 H 0.000 0.500 0.000
4 H 0.500 0.000 0.000
5 Pd 0.500 0.500 0.500

Results
VASP energy, eV per cell: -21.64
Volume, Å³ per atom: 6.855



No. 16
Here is a geometry-optimized CoH5Pd4 structure from Alexandria. Energies are from GGA-PBE.

Lattice parameters (Å, degrees): 4.945 4.945 4.945 100.54 100.54 129.35
Sites, in units of the cell vectors:
1 Co 0.000 0.000 0.000
2 H 0.021 0.191 0.348
3 H 0.191 0.843 0.171
4 H 0.398 0.398 0.000
5 H 0.673 0.021 0.829
6 H 0.843 0.673 0.652
7 Pd 0.184 0.592 0.809
8 Pd 0.375 0.184 0.592
9 Pd 0.592 0.783 0.408
10 Pd 0.783 0.375 0.191

Results
VASP energy, eV per cell: -44.66
Volume, Å³ per atom: 8.450



No. 17
Here is a geometry-optimized CoH3Pd structure from Alexandria. Energies are from GGA-PBE.

Lattice parameters (Å, degrees): 4.333 4.514 4.742 67.87 66.95 62.13
Sites, in units of the cell vectors:
1 Co 0.000 0.000 0.000
2 Co 0.195 0.147 0.415
3 H 0.043 0.287 0.095
4 H 0.111 0.603 0.263
5 H 0.175 0.783 0.701
6 H 0.341 0.108 0.722
7 H 0.563 0.177 0.133
8 H 0.818 0.293 0.698
9 Pd 0.558 0.540 0.291
10 Pd 0.793 0.754 0.644

Results
VASP energy, eV per cell: -43.56
Volume, Å³ per atom: 7.327



No. 18
Here is a geometry-optimized CoHPd2 structure from Alexandria. Energies are from GGA-PBE.

Lattice parameters (Å, degrees): 7.614 7.614 7.614 20.62 20.62 20.62
Sites, in units of the cell vectors:
1 Co 0.000 0.000 0.000
2 H 0.500 0.500 0.500
3 Pd 0.110 0.110 0.110
4 Pd 0.890 0.890 0.890

Results
VASP energy, eV per cell: -19.78
Volume, Å³ per atom: 11.983



No. 19
Here is a geometry-optimized Co2HPd2 structure from Alexandria. Energies are from GGA-PBE.

Lattice parameters (Å, degrees): 5.112 5.112 4.462 90.00 90.00 90.00
Sites, in units of the cell vectors:
1 Co 0.164 0.336 0.000
2 Co 0.336 0.836 0.000
3 Co 0.664 0.164 0.000
4 Co 0.836 0.664 0.000
5 H 0.000 0.000 0.000
6 H 0.500 0.500 0.000
7 Pd 0.178 0.678 0.500
8 Pd 0.322 0.178 0.500
9 Pd 0.678 0.822 0.500
10 Pd 0.822 0.322 0.500

Results
VASP energy, eV per cell: -53.26
Volume, Å³ per atom: 11.663



No. 20
Here is a geometry-optimized CoH4Pd structure from Alexandria. Energies are from GGA-PBE.

Lattice parameters (Å, degrees): 4.631 4.631 4.878 106.81 106.81 112.65
Sites, in units of the cell vectors:
1 Co 0.017 0.983 0.750
2 Co 0.983 0.017 0.250
3 H 0.065 0.678 0.808
4 H 0.190 0.288 0.635
5 H 0.288 0.190 0.135
6 H 0.322 0.935 0.692
7 H 0.678 0.065 0.308
8 H 0.712 0.810 0.865
9 H 0.810 0.712 0.365
10 H 0.935 0.322 0.192
11 Pd 0.352 0.648 0.250
12 Pd 0.648 0.352 0.750

Results
VASP energy, eV per cell: -50.03
Volume, Å³ per atom: 6.864



No. 21
Here is a geometry-optimized CoH2Pd structure from Alexandria. Energies are from GGA-PBE.

Lattice parameters (Å, degrees): 3.618 3.618 3.618 60.00 60.00 60.00
Sites, in units of the cell vectors:
1 Co 0.000 0.000 0.000
2 H 0.250 0.250 0.250
3 H 0.750 0.750 0.750
4 Pd 0.500 0.500 0.500

Results
VASP energy, eV per cell: -16.88
Volume, Å³ per atom: 8.369



No. 22
Here is a geometry-optimized CoHPd structure from Alexandria. Energies are from GGA-PBE.

Lattice parameters (Å, degrees): 3.801 3.801 3.801 126.01 126.01 79.87
Sites, in units of the cell vectors:
1 Co 0.000 0.000 0.000
2 H 0.281 0.281 0.000
3 Pd 0.587 0.587 0.000

Results
VASP energy, eV per cell: -13.92
Volume, Å³ per atom: 11.571